Run one
Compound: ZrMn6Ga2Sn4
Source: Alexandria
Functional: PBE
Structure: relaxed

## Properties
density of states at the Fermi level: 9.03 states/eV per cell

Unit cell a=5.2940 b=5.2940 c=8.9874 alpha=90.00 beta=90.00 gamma=120.00
Site moments in Bohr magnetons follow the coordinates.
Fractional positions:
Ga 0.0000 0.0000 0.8068  -0.11
Ga 0.0000 0.0000 0.1932  -0.11
Mn 0.0000 0.5000 0.7484  2.38
Mn 0.5000 0.0000 0.7484  2.38
Mn 0.0000 0.5000 0.2516  2.38
Mn 0.5000 0.0000 0.2516  2.38
Mn 0.5000 0.5000 0.7484  2.38
Mn 0.5000 0.5000 0.2516  2.38
Zr 0.0000 0.0000 0.5000  -0.32
Sn 0.3333 0.6667 0.5000  -0.12
Sn 0.6667 0.3333 0.5000  -0.12
Sn 0.6667 0.3333 0.0000  -0.13
Sn 0.3333 0.6667 0.0000  -0.13

=====

Run two
Compound: ZrMn6Ga2Sn4
Source: Alexandria
Functional: PBE
Structure: relaxed

## Properties
density of states at the Fermi level: 10.39 states/eV per cell

Unit cell a=5.3339 b=5.3339 c=8.7736 alpha=90.00 beta=90.00 gamma=120.00
Site moments in Bohr magnetons follow the coordinates.
Fractional positions:
Mn 0.5000 0.5000 0.2449  2.44
Mn 0.0000 0.5000 0.7551  2.44
Mn 0.5000 0.5000 0.7551  2.44
Mn 0.5000 0.0000 0.2449  2.44
Mn 0.0000 0.5000 0.2449  2.44
Mn 0.5000 0.0000 0.7551  2.44
Sn 0.0000 0.0000 0.1646  -0.11
Sn 0.6667 0.3333 0.5000  -0.12
Sn 0.3333 0.6667 0.5000  -0.12
Sn 0.0000 0.0000 0.8354  -0.11
Zr 0.0000 0.0000 0.5000  -0.40
Ga 0.3333 0.6667 0.0000  -0.12
Ga 0.6667 0.3333 0.0000  -0.12

=====

Relative to the most stable one, in meV/atom, the structures come out at run one 34; run two 0.

=====

Run one
Compound: TaMn2Ga2
Source: Alexandria
Functional: PBE
Structure: relaxed

## Properties
density of states at the Fermi level: 2.76 states/eV per cell

Unit cell a=3.6650 b=3.6650 c=6.1325 alpha=72.61 beta=72.61 gamma=90.00
Site moments in Bohr magnetons follow the coordinates.
Fractional positions:
Mn 0.2500 0.7500 0.5000  2.45
Mn 0.7500 0.2500 0.5000  2.45
Ga 0.3943 0.3943 0.2114  -0.05
Ga 0.6057 0.6057 0.7886  -0.05
Ta 0.0000 0.0000 0.0000  -0.31

=====

Run two
Compound: TaMn2Ga2
Source: Alexandria
Functional: PBE
Structure: relaxed

## Properties
density of states at the Fermi level: 6.31 states/eV per cell

Unit cell a=7.1363 b=7.1363 c=2.8192 alpha=90.00 beta=90.00 gamma=90.00
Site moments in Bohr magnetons follow the coordinates.
Fractional positions:
Ga 0.6274 0.1274 0.0000  -0.09
Ga 0.3726 0.8726 0.0000  -0.09
Ga 0.8726 0.6274 0.0000  -0.09
Ga 0.1274 0.3726 0.0000  -0.09
Mn 0.6715 0.8285 0.5000  2.36
Mn 0.8285 0.3285 0.5000  2.36
Mn 0.3285 0.1715 0.5000  2.36
Mn 0.1715 0.6715 0.5000  2.36
Ta 0.0000 0.0000 0.0000  -0.30
Ta 0.5000 0.5000 0.0000  -0.30

=====

Relative to the most stable one, in meV/atom, the structures come out at run one 143; run two 0.

=====

Run one
Compound: TiMnGaTc
Source: Alexandria
Functional: PBE
Structure: relaxed

## Properties
density of states at the Fermi level: 3.45 states/eV per cell

Unit cell a=3.2746 b=4.1257 c=4.2147 alpha=90.00 beta=90.00 gamma=90.00
Site moments in Bohr magnetons follow the coordinates.
Fractional positions:
Ga 0.0000 0.0000 0.0000  -0.04
Mn 0.5000 0.5000 0.0000  2.68
Ti 0.0000 0.5000 0.5000  -0.39
Tc 0.5000 0.0000 0.5000  0.42

=====

Run two
Compound: TiMnGaTc
Source: Alexandria
Functional: PBE
Structure: relaxed

## Properties
density of states at the Fermi level: 0.87 states/eV per cell

Unit cell a=4.3282 b=4.3282 c=4.3282 alpha=60.00 beta=60.00 gamma=60.00
Site moments in Bohr magnetons follow the coordinates.
Fractional positions:
Mn 0.5000 0.5000 0.5000  2.86
Tc 0.0000 0.0000 0.0000  0.41
Ti 0.7500 0.7500 0.7500  -0.43
Ga 0.2500 0.2500 0.2500  -0.04

=====

Relative to the most stable one, in meV/atom, the structures come out at run one 0; run two 21.